A plane-wave DFT calculation with GGA-PBE was carried out for BaY2Sb after structural relaxation.

Lattice parameters (Å, degrees): 10.688 10.688 10.688 22.54 22.54 22.54
Atoms (fractional coordinates):
Sb1 0.750 0.750 0.750
Y1 0.025 0.025 0.025
Ba1 0.250 0.250 0.250
Y2 0.475 0.475 0.475

Output
Total magnetization   0.00 μB per formula unit
Total energy   -5.096 eV/atom
Formation energy without anion corrections   -1.413 eV/f.u.
Crystal system   trigonal